Record 1
This record from OQMD describes crystalline ScGa2Au at its relaxed geometry. The functional is PBE-GGA.

Summary:
Symmetry   F-43m, No. 216

a b c (Å): 4.702 4.702 4.702
angles (deg): 60.00 60.00 60.00
Element x y z (fractional)
Au 0.000 0.000 0.000
Ga 0.500 0.500 0.500
Ga 0.750 0.750 0.750
Sc 0.250 0.250 0.250

Record 2
This record from OQMD describes crystalline Sm3Mg3Tl2Ir at its relaxed geometry. The functional is PBE-GGA.

Summary:
Symmetry   P-62m, No. 189

a b c (Å): 7.550 7.550 4.600
angles (deg): 90.00 90.00 120.00
Element x y z (fractional)
Sm 0.612 0.612 0.000
Tl 0.667 0.333 0.500
Sm 0.000 0.388 0.000
Mg 0.773 0.000 0.500
Tl 0.333 0.667 0.500
Mg 0.227 0.227 0.500
Mg 0.000 0.773 0.500
Ir 0.000 0.000 0.000
Sm 0.388 0.000 0.000

Record 3
This record from OQMD describes crystalline NdGdMg6 at its relaxed geometry. The functional is PBE-GGA.

Summary:
Symmetry   Pmm2, No. 25

a b c (Å): 5.219 7.383 5.221
angles (deg): 90.00 90.00 90.00
Element x y z (fractional)
Mg 0.500 0.247 0.754
Gd 0.000 0.000 0.746
Mg 0.000 0.500 0.747
Mg 0.000 0.753 0.246
Nd 0.500 0.500 0.254
Mg 0.500 0.000 0.253
Mg 0.000 0.247 0.246
Mg 0.500 0.753 0.754

no.,E_tot (eV/cell)
1,-17.48
2,-36.11
3,-19.53